(1)
PBE-GGA MgIr2W, optimized geometry; energy of formation from the pure elements = -0.37 eV/atom; space group = No. 123
1.0
2.883 0.000 0.000
0.000 2.883 0.000
0.000 0.000 7.363
Mg Ir W
1 2 1
direct
0.500 0.500 0.250 Mg
0.000 0.000 0.994 Ir
0.000 0.000 0.506 Ir
0.500 0.500 0.750 W

=====

(2)
PBE-GGA YMgIr2, optimized geometry; energy of formation from the pure elements = -0.24 eV/atom; space group = No. 25
1.0
-2.182 -0.993 1.788
1.237 -4.033 -0.729
3.516 0.276 4.444
Ir Mg Y
2 1 1
direct
0.000 0.000 0.993 Ir
0.500 0.500 0.274 Ir
0.000 0.000 0.454 Mg
0.500 0.500 0.778 Y

=====

(3)
PBE-GGA YMg2Ir, optimized geometry; energy of formation from the pure elements = -0.08 eV/atom; space group = No. 12
1.0
6.023 0.005 -0.001
-1.946 4.550 -0.009
0.753 0.569 3.046
Ir Mg Y
1 2 1
direct
0.500 0.000 0.500 Ir
0.000 0.000 0.000 Mg
0.000 0.500 0.500 Mg
0.500 0.500 0.000 Y

=====

(4)
PBE-GGA YMgIr3, optimized geometry; energy of formation from the pure elements = 1.59 eV/atom; space group = No. 221
1.0
-1.785 3.648 2.877
-4.577 -0.855 -1.757
-0.793 -3.276 3.661
Y Mg Ir
1 1 3
direct
0.000 0.000 0.000 Y
0.500 0.500 0.500 Mg
0.000 0.500 0.000 Ir
0.000 0.000 0.500 Ir
0.500 0.000 0.000 Ir

=====

(5)
PBE-GGA Y2Mg2Ir, optimized geometry; energy of formation from the pure elements = -0.06 eV/atom; space group = No. 127
1.0
-3.487 5.904 0.628
-5.345 -2.804 -3.315
-1.857 -1.555 4.310
Y Mg Ir
4 4 2
direct
0.181 0.681 0.500 Y
0.681 0.819 0.500 Y
0.819 0.319 0.500 Y
0.319 0.181 0.500 Y
0.357 0.857 0.000 Mg
0.857 0.643 0.000 Mg
0.643 0.143 0.000 Mg
0.143 0.357 0.000 Mg
0.000 0.000 0.000 Ir
0.500 0.500 0.000 Ir

=====

(6)
PBE-GGA YMg2Ir, optimized geometry; energy of formation from the pure elements = -0.35 eV/atom; space group = No. 12
1.0
-2.182 2.351 -5.237
-4.637 2.527 -3.134
0.199 4.908 -0.180
Ir Mg Y
1 2 1
direct
0.250 0.250 0.250 Ir
0.953 0.953 0.046 Mg
0.547 0.547 0.454 Mg
0.750 0.750 0.750 Y

=====

(7)
PBE-GGA Y4MgIr, optimized geometry; energy of formation from the pure elements = -0.42 eV/atom; space group = No. 216; energy above the most stable polymorph in this dataset = 0 meV/atom
1.0
9.750 0.000 0.000
4.875 8.444 0.000
4.875 2.815 7.961
Y Mg Ir
16 4 4
direct
0.597 0.597 0.597 Y
0.597 0.597 0.210 Y
0.597 0.210 0.597 Y
0.210 0.597 0.597 Y
0.062 0.438 0.438 Y
0.438 0.062 0.062 Y
0.438 0.062 0.438 Y
0.062 0.438 0.062 Y
0.438 0.438 0.062 Y
0.062 0.062 0.438 Y
0.187 0.813 0.813 Y
0.813 0.187 0.187 Y
0.813 0.187 0.813 Y
0.187 0.813 0.187 Y
0.813 0.813 0.187 Y
0.187 0.187 0.813 Y
0.829 0.829 0.829 Mg
0.829 0.829 0.512 Mg
0.829 0.512 0.829 Mg
0.512 0.829 0.829 Mg
0.391 0.391 0.391 Ir
0.391 0.391 0.827 Ir
0.391 0.827 0.391 Ir
0.827 0.391 0.391 Ir

=====

(8)
PBE-GGA YMg2Ir, optimized geometry; energy of formation from the pure elements = -0.31 eV/atom; space group = No. 123
1.0
4.879 0.000 0.000
0.000 4.095 0.000
0.000 0.000 4.095
Ir Mg Y
1 2 1
direct
0.500 0.000 0.500 Ir
0.000 0.000 0.000 Mg
0.000 0.500 0.500 Mg
0.500 0.500 0.000 Y

=====

(9)
PBE-GGA YMgIr, optimized geometry; energy of formation from the pure elements = -0.47 eV/atom; space group = No. 107
1.0
-5.288 -3.089 -0.788
-4.153 -3.987 2.230
-2.368 1.871 1.447
Ir Mg Y
1 1 1
direct
0.995 0.995 0.005 Ir
0.366 0.366 0.633 Mg
0.639 0.639 0.361 Y

=====

(10)
PBE-GGA Y6MgIr, optimized geometry; energy of formation from the pure elements = -0.03 eV/atom; space group = No. 2
1.0
6.948 0.011 0.003
3.468 6.032 0.010
3.457 2.005 6.285
Y Mg Ir
6 1 1
direct
0.035 0.422 0.753 Y
0.790 0.034 0.753 Y
0.578 0.209 0.248 Y
0.210 0.966 0.247 Y
0.965 0.578 0.247 Y
0.422 0.791 0.752 Y
0.500 0.500 0.500 Mg
0.000 0.000 0.000 Ir

=====

(11)
PBE-GGA YMgIr2, optimized geometry; energy of formation from the pure elements = -0.52 eV/atom; space group = No. 123
1.0
3.358 0.000 0.000
0.000 4.608 0.000
0.000 0.000 4.608
Y Mg Ir
1 1 2
direct
0.500 0.000 0.000 Y
0.500 0.500 0.500 Mg
0.000 0.000 0.500 Ir
0.000 0.500 0.000 Ir

=====

(12)
PBE-GGA YMg2Ir, optimized geometry; energy of formation from the pure elements = -0.33 eV/atom; space group = No. 8
1.0
4.645 -0.427 -0.039
2.709 3.797 -0.039
2.495 1.143 4.542
Ir Mg Y
1 2 1
direct
0.705 0.705 0.886 Ir
0.022 0.022 0.934 Mg
0.279 0.279 0.163 Mg
0.494 0.494 0.517 Y